(A)
Entry from the Alexandria database: SrMg2CdCo after structural relaxation (PBE).

The value obtained for the magnetic moment is 0.0 Bohr magnetons per cell. Its volume is 184 Å³/cell.

It has space group P4/mmm (No. 123), with a = 6.2330 Å, b = 6.2330 Å, c = 4.7395 Å, α = 90.00°, β = 90.00° and γ = 90.00°. The asymmetric unit holds Sr at (0.0000, 0.0000, 0.0000), Mg at (0.0000, 0.5000, 0.0000), Cd at (0.5000, 0.5000, 0.5000) and Co at (0.0000, 0.0000, 0.5000).



(B)
Entry from the Alexandria database: SrMg2CdCo after structural relaxation (PBE).

The value obtained for the magnetic moment is 0.0 Bohr magnetons per cell. Its volume is 124 Å³/cell.

It has space group P4/mmm (No. 123), with a = 4.9055 Å, b = 4.9055 Å, c = 5.1412 Å, α = 90.00°, β = 90.00° and γ = 90.00°. The asymmetric unit holds Sr at (0.0000, 0.0000, 0.0000), Mg at (0.0000, 0.5000, 0.5000), Cd at (0.5000, 0.5000, 0.0000) and Co at (0.5000, 0.5000, 0.5000).



Most stable: (B)



(A)
Entry from the Alexandria database: MnCdCo after structural relaxation (PBE).

The value obtained for the magnetic moment is 4.7 Bohr magnetons per cell. Its volume is 45 Å³/cell.

It has space group P3m1 (No. 156), with a = 4.3324 Å, b = 4.3324 Å, c = 2.7395 Å, α = 90.00°, β = 90.00° and γ = 120.00°. The asymmetric unit holds Mn at (0.0000, 0.0000, 0.0000), Cd at (0.6667, 0.3333, 0.4168) and Co at (0.3333, 0.6667, 0.8164).



(B)
Entry from the Alexandria database: MnCdCo after structural relaxation (PBE).

The value obtained for the magnetic moment is 8.4 Bohr magnetons per cell. Its volume is 88 Å³/cell.

It has space group I4mm (No. 107), with a = 3.0080 Å, b = 3.0080 Å, c = 9.7655 Å, α = 90.00°, β = 90.00° and γ = 90.00°. The asymmetric unit holds Mn at (0.0000, 0.0000, 0.0000), Cd at (0.0000, 0.0000, 0.3021) and Co at (0.0000, 0.0000, 0.6174).



Most stable: (B)



(A)
Entry from the Alexandria database: CdCoNiMo2 after structural relaxation (PBE).

The value obtained for the magnetic moment is 1.5 Bohr magnetons per cell. Its volume is 88 Å³/cell.

It has space group P4/mmm (No. 123), with a = 4.4832 Å, b = 4.4832 Å, c = 4.3697 Å, α = 90.00°, β = 90.00° and γ = 90.00°. The asymmetric unit holds Cd at (0.0000, 0.0000, 0.0000), Co at (0.5000, 0.5000, 0.0000), Ni at (0.5000, 0.5000, 0.5000) and Mo at (0.0000, 0.5000, 0.5000).



(B)
Entry from the Alexandria database: CdCoNiMo2 after structural relaxation (PBE).

The value obtained for the magnetic moment is 1.0 Bohr magnetons per cell. Its volume is 106 Å³/cell.

It has space group P4/mmm (No. 123), with a = 4.8637 Å, b = 4.8637 Å, c = 4.4839 Å, α = 90.00°, β = 90.00° and γ = 90.00°. The asymmetric unit holds Cd at (0.0000, 0.0000, 0.0000), Co at (0.0000, 0.0000, 0.5000), Ni at (0.5000, 0.5000, 0.5000) and Mo at (0.0000, 0.5000, 0.0000).



Most stable: (A)



(A)
Entry from the Alexandria database: CdCo2N2 after structural relaxation (PBE).

The value obtained for the magnetic moment is 0.0 Bohr magnetons per cell. Its volume is 116 Å³/cell.

It has space group Pmmn (No. 59, origin choice 2), with a = 2.6890 Å, b = 14.9254 Å, c = 2.8820 Å, α = 90.00°, β = 90.00° and γ = 90.00°. The asymmetric unit holds Cd at (0.2500, 0.2500, 0.2110), Co at (0.2500, 0.5714, 0.7850) and N at (0.2500, 0.0623, 0.7736).



(B)
Entry from the Alexandria database: CdCo2N2 after structural relaxation (PBE).

The value obtained for the magnetic moment is 0.0 Bohr magnetons per cell. Its volume is 202 Å³/cell.

It has space group R-3m (No. 166, hexagonal axes), with a = 3.0710 Å, b = 3.0710 Å, c = 24.7077 Å, α = 90.00°, β = 90.00° and γ = 120.00°. The asymmetric unit holds Cd at (0.0000, 0.0000, 0.0000), Co at (0.0000, 0.0000, 0.1320) and N at (0.0000, 0.0000, 0.2175).



Most stable: (B)



(A)
Entry from the Alexandria database: Cd3CoN after structural relaxation (PBE).

The value obtained for the magnetic moment is 3.4 Bohr magnetons per cell. Its volume is 125 Å³/cell.

It has space group Pm-3m (No. 221), with a = 5.0066 Å, b = 5.0066 Å, c = 5.0066 Å, α = 90.00°, β = 90.00° and γ = 90.00°. The asymmetric unit holds Cd at (0.0000, 0.0000, 0.5000), Co at (0.0000, 0.0000, 0.0000) and N at (0.5000, 0.5000, 0.5000).



(B)
Entry from the Alexandria database: Cd3CoN after structural relaxation (PBE).

The value obtained for the magnetic moment is 1.5 Bohr magnetons per cell. Its volume is 93 Å³/cell.

It has space group Pm-3m (No. 221), with a = 4.5351 Å, b = 4.5351 Å, c = 4.5351 Å, α = 90.00°, β = 90.00° and γ = 90.00°. The asymmetric unit holds Cd at (0.0000, 0.0000, 0.5000), Co at (0.5000, 0.5000, 0.5000) and N at (0.0000, 0.0000, 0.0000).



Most stable: (B)



(A)
Entry from the Alexandria database: CdCoNi2N after structural relaxation (PBE).

The value obtained for the magnetic moment is 4.4 Bohr magnetons per cell. Its volume is 98 Å³/cell.

It has space group P4/mmm (No. 123), with a = 4.5990 Å, b = 4.5990 Å, c = 4.6422 Å, α = 90.00°, β = 90.00° and γ = 90.00°. The asymmetric unit holds Cd at (0.0000, 0.0000, 0.0000), Co at (0.0000, 0.0000, 0.5000), Ni at (0.0000, 0.5000, 0.0000) and N at (0.5000, 0.5000, 0.5000).



(B)
Entry from the Alexandria database: CdCoNi2N after structural relaxation (PBE).

The value obtained for the magnetic moment is 1.4 Bohr magnetons per cell. Its volume is 57 Å³/cell.

It has space group P4/mmm (No. 123), with a = 3.8954 Å, b = 3.8954 Å, c = 3.7757 Å, α = 90.00°, β = 90.00° and γ = 90.00°. The asymmetric unit holds Cd at (0.0000, 0.0000, 0.0000), Co at (0.5000, 0.5000, 0.0000), Ni at (0.0000, 0.5000, 0.5000) and N at (0.5000, 0.5000, 0.5000).



Most stable: (B)